Record 1
Computed, not measured: a relaxed Ta2CoIr crystal at the GGA-PBE level of DFT.

total magnetization: 0.0 μB/f.u.
SG: No. 8
energy relative to the elements: -0.266 eV per atom

a = 4.8467 Å, b = 4.8467 Å, c = 4.7743 Å
α = 79.75°, β = 79.75°, γ = 34.17°
With the nearest neighbours (Å) after each atom.
Positions (direct):
Ir (0.2376, 0.2376, 0.2292)  7 Ta 2.61-2.86, 2 Co 2.75, 2 Ir 2.85
Ta (0.9919, 0.9919, 0.0364)  3 Ir 2.61-2.76, 4 Co 2.77-2.79, 3 Ta 2.85-2.87
Ta (0.7647, 0.7647, 0.7013)  3 Co 2.65-2.67, 4 Ir 2.72-2.86, 3 Ta 2.85-2.87
Co (0.5059, 0.5059, 0.5332)  7 Ta 2.65-2.79, 2 Ir 2.75, 2 Co 2.85

---

Record 2
Computed, not measured: a relaxed NaZrRuAu2 crystal at the GGA-PBE level of DFT.

total magnetization: 0.0 μB/f.u.
SG: No. 123
energy relative to the elements: 0.325 eV per atom

a = 5.2486 Å, b = 4.6690 Å, c = 5.2486 Å
α = 90.00°, β = 90.00°, γ = 90.00°
With the nearest neighbours (Å) after each atom.
Positions (direct):
Au (0.0000, 0.0000, 0.5000)  2 Ru 2.62
Au (0.5000, 0.0000, 0.0000)  2 Ru 2.62
Na (0.5000, 0.5000, 0.5000)  8 Au 3.51, 4 Zr 3.71
Ru (0.0000, 0.0000, 0.0000)  2 Zr 2.33
Zr (0.0000, 0.5000, 0.0000)  2 Ru 2.33

---

Record 3
Computed, not measured: a relaxed LiAcPdPb crystal at the GGA-PBE level of DFT.

total magnetization: 0.0 μB/f.u.
SG: No. 216
energy relative to the elements: -0.545 eV per atom

a = 5.1217 Å, b = 5.1217 Å, c = 5.1217 Å
α = 60.00°, β = 60.00°, γ = 60.00°
With the nearest neighbours (Å) after each atom.
Positions (direct):
Pd (0.2500, 0.2500, 0.2500)  4 Ac 3.14, 4 Pb 3.14
Ac (0.5000, 0.5000, 0.5000)  4 Pd 3.14, 4 Li 3.14
Pb (0.0000, 0.0000, 0.0000)  4 Li 3.14, 4 Pd 3.14
Li (0.7500, 0.7500, 0.7500)  4 Pb 3.14, 4 Ac 3.14

---

Record 4
Computed, not measured: a relaxed CaCoCl crystal at the GGA-PBE level of DFT.

total magnetization: 0.0 μB/f.u.
SG: No. 194
E_form (uncorrected): -0.23 eV per atom

a = 3.8480 Å, b = 3.8480 Å, c = 8.2878 Å
α = 90.00°, β = 90.00°, γ = 120.00°
With the nearest neighbours (Å) after each atom.
Positions (direct):
Co (0.6667, 0.3333, 0.2500)  3 Cl 2.22
Co (0.3333, 0.6667, 0.7500)  3 Cl 2.22
Ca (0.0000, 0.0000, 0.5000)  6 Cl 3.04, 6 Co 3.04
Ca (0.0000, 0.0000, 0.0000)  6 Cl 3.04, 6 Co 3.04
Cl (0.6667, 0.3333, 0.7500)  3 Co 2.22
Cl (0.3333, 0.6667, 0.2500)  3 Co 2.22

---

Which value of total magnetization does entry 4 give? 0.0 μB/f.u.

---

What is the formula in the third record? LiAcPdPb

---

Repeat the first record exactly.
Computed, not measured: a relaxed Ta2CoIr crystal at the GGA-PBE level of DFT.

total magnetization: 0.0 μB/f.u.
SG: No. 8
energy relative to the elements: -0.266 eV per atom

a = 4.8467 Å, b = 4.8467 Å, c = 4.7743 Å
α = 79.75°, β = 79.75°, γ = 34.17°
With the nearest neighbours (Å) after each atom.
Positions (direct):
Ir (0.2376, 0.2376, 0.2292)  7 Ta 2.61-2.86, 2 Co 2.75, 2 Ir 2.85
Ta (0.9919, 0.9919, 0.0364)  3 Ir 2.61-2.76, 4 Co 2.77-2.79, 3 Ta 2.85-2.87
Ta (0.7647, 0.7647, 0.7013)  3 Co 2.65-2.67, 4 Ir 2.72-2.86, 3 Ta 2.85-2.87
Co (0.5059, 0.5059, 0.5332)  7 Ta 2.65-2.79, 2 Ir 2.75, 2 Co 2.85